Compound: AcTb2O
Source: Alexandria via LeMat-Bulk
Functional: PBE-GGA
Structure: relaxed

final energy	-23.0	eV/f.u.
energy relative to the lowest polymorph listed for this composition	0	kJ/mol of formula units
raw formation energy	-1.18	eV per atom
SG	R-3m

CIF file:
```
data_AcTb2O
_cell_length_a 9.9676
_cell_length_b 9.9676
_cell_length_c 9.9676
_cell_angle_alpha 20.77
_cell_angle_beta 20.77
_cell_angle_gamma 20.77
_space_group_name_H-M_alt 'P 1'
_space_group_IT_number 1
loop_
_space_group_symop_operation_xyz
'x,y,z'
loop_
_atom_site_label
_atom_site_fract_x
_atom_site_fract_y
_atom_site_fract_z
Ac1 0.0000 0.0000 0.0000
Tb1 0.1225 0.1225 0.1225
Tb2 0.8775 0.8775 0.8775
O1 0.5000 0.5000 0.5000
```

---

Compound: AcTbO4
Source: Alexandria via LeMat-Bulk
Functional: PBE-GGA
Structure: relaxed

final energy	-45.7	eV/f.u.
raw formation energy	-2.86	eV per atom
SG	Cm

CIF file:
```
data_AcTbO4
_cell_length_a 3.9878
_cell_length_b 3.9878
_cell_length_c 6.6156
_cell_angle_alpha 96.54
_cell_angle_beta 96.54
_cell_angle_gamma 61.65
_space_group_name_H-M_alt 'P 1'
_space_group_IT_number 1
loop_
_space_group_symop_operation_xyz
'x,y,z'
loop_
_atom_site_label
_atom_site_fract_x
_atom_site_fract_y
_atom_site_fract_z
Ac1 0.0000 0.0000 0.0000
Tb1 0.6064 0.6064 0.5375
O1 0.2172 0.2172 0.3561
O2 0.3760 0.3760 0.2170
O3 0.6453 0.6453 0.8843
O4 0.9487 0.9487 0.6071
```

---

Compound: Ac3Tb5O12
Source: Alexandria via LeMat-Bulk
Functional: PBE-GGA
Structure: relaxed

final energy	-162.7	eV/f.u.
raw formation energy	-3.39	eV per atom
SG	Ia-3d

CIF file:
```
data_Ac3Tb5O12
_cell_length_a 12.1818
_cell_length_b 12.1818
_cell_length_c 12.1818
_cell_angle_alpha 109.47
_cell_angle_beta 109.47
_cell_angle_gamma 109.47
_space_group_name_H-M_alt 'P 1'
_space_group_IT_number 1
loop_
_space_group_symop_operation_xyz
'x,y,z'
loop_
_atom_site_label
_atom_site_fract_x
_atom_site_fract_y
_atom_site_fract_z
Ac1 0.1250 0.2500 0.3750
Ac2 0.1250 0.3750 0.7500
Ac3 0.2500 0.3750 0.1250
Ac4 0.2500 0.8750 0.6250
Ac5 0.3750 0.1250 0.2500
Ac6 0.3750 0.7500 0.1250
Ac7 0.6250 0.2500 0.8750
Ac8 0.6250 0.8750 0.7500
Ac9 0.7500 0.1250 0.3750
Ac10 0.7500 0.6250 0.8750
Ac11 0.8750 0.6250 0.2500
Ac12 0.8750 0.7500 0.6250
Tb1 0.0000 0.0000 0.0000
Tb2 0.0000 0.0000 0.5000
Tb3 0.0000 0.5000 0.0000
Tb4 0.0000 0.5000 0.5000
Tb5 0.1250 0.7500 0.8750
Tb6 0.1250 0.8750 0.2500
Tb7 0.2500 0.1250 0.8750
Tb8 0.2500 0.6250 0.3750
Tb9 0.3750 0.2500 0.6250
Tb10 0.3750 0.6250 0.7500
Tb11 0.5000 0.0000 0.0000
Tb12 0.5000 0.0000 0.5000
Tb13 0.5000 0.5000 0.0000
Tb14 0.5000 0.5000 0.5000
Tb15 0.6250 0.3750 0.2500
Tb16 0.6250 0.7500 0.3750
Tb17 0.7500 0.3750 0.6250
Tb18 0.7500 0.8750 0.1250
Tb19 0.8750 0.1250 0.7500
Tb20 0.8750 0.2500 0.1250
O1 0.0350 0.2105 0.1273
O2 0.0350 0.3245 0.9077
O3 0.0832 0.7105 0.6755
O4 0.0832 0.8727 0.4077
O5 0.0923 0.6273 0.4168
O6 0.0923 0.9650 0.6755
O7 0.1273 0.0350 0.2105
O8 0.1273 0.5923 0.9168
O9 0.1755 0.2105 0.5832
O10 0.1755 0.4650 0.5923
O11 0.2105 0.1273 0.0350
O12 0.2105 0.5832 0.1755
O13 0.2895 0.3245 0.9168
O14 0.2895 0.4650 0.3727
O15 0.3245 0.9077 0.0350
O16 0.3245 0.9168 0.2895
O17 0.3727 0.2895 0.4650
O18 0.3727 0.5832 0.9077
O19 0.4077 0.0832 0.8727
O20 0.4077 0.8245 0.5350
O21 0.4168 0.0923 0.6273
O22 0.4168 0.8245 0.7895
O23 0.4650 0.3727 0.2895
O24 0.4650 0.5923 0.1755
O25 0.5350 0.4077 0.8245
O26 0.5350 0.6273 0.7105
O27 0.5832 0.1755 0.2105
O28 0.5832 0.9077 0.3727
O29 0.5923 0.1755 0.4650
O30 0.5923 0.9168 0.1273
O31 0.6273 0.4168 0.0923
O32 0.6273 0.7105 0.5350
O33 0.6755 0.0832 0.7105
O34 0.6755 0.0923 0.9650
O35 0.7105 0.5350 0.6273
O36 0.7105 0.6755 0.0832
O37 0.7895 0.4168 0.8245
O38 0.7895 0.8727 0.9650
O39 0.8245 0.5350 0.4077
O40 0.8245 0.7895 0.4168
O41 0.8727 0.4077 0.0832
O42 0.8727 0.9650 0.7895
O43 0.9077 0.0350 0.3245
O44 0.9077 0.3727 0.5832
O45 0.9168 0.1273 0.5923
O46 0.9168 0.2895 0.3245
O47 0.9650 0.6755 0.0923
O48 0.9650 0.7895 0.8727
```